Computed, not measured: a relaxed structure of Rb2Y2Te2S at the PBE level of DFT.

Cell: 9.8925 9.8925 9.8925 Å, 149.08 149.08 44.29°
With the nearest neighbours (Å) after each atom.
Atoms (fractional coordinates):
1 Rb 0.1816 0.1816 0.0000  1 S 3.33
2 Rb 0.8184 0.8184 0.0000  1 S 3.33
3 Y 0.0000 0.5000 0.5000  2 S 2.64
4 Y 0.5000 0.0000 0.5000  2 S 2.64
5 Te 0.3900 0.3900 0.0000  4 Y 3.32
6 Te 0.6100 0.6100 0.0000  4 Y 3.32
7 S 0.0000 0.0000 0.0000  4 Y 2.64

Computed properties:
The uncorrected formation energy comes out at -8.79 eV/f.u. The density of states at the Fermi level is 4.9 states/eV per cell. The value obtained for the raw total energy is -4.866 eV per atom.